Entry from the Alexandria database: a relaxed structure of LiMnPd (PBE).

Properties
For the energy of formation, the calculation gives -28 kJ/mol of formula units.

Cell: 3.226 3.226 8.464 Å, 90.00 90.00 90.00°
Space group I4mm (No. 107)
Asymmetric unit:
Li (0.000, 0.000, 0.000) x2
Mn (0.000, 0.000, 0.321) x2
Pd (0.000, 0.000, 0.659) x2

Entry from the Alexandria database: a relaxed structure of LiMnPd (PBE).

Properties
For the energy of formation, the calculation gives -26 kJ/mol of formula units.

Cell: 4.795 2.768 12.881 Å, 90.00 97.12 90.00°
Space group Cm (No. 8)
Asymmetric unit:
Li (0.000, 0.000, 0.000) x2
Li (0.109, 0.000, 0.329) x2
Mn (0.108, 0.500, 0.819) x2
Mn (0.224, 0.000, 0.667) x2
Pd (0.000, 0.500, 0.497) x2
Pd (0.220, 0.500, 0.164) x2

Entry from the Alexandria database: a relaxed structure of LiMn3Pd3 (PBE).

Properties
For the energy of formation, the calculation gives -37 kJ/mol of formula units.

Cell: 8.824 8.850 5.832 Å, 90.00 90.00 90.00°
Space group Cmmm (No. 65)
Asymmetric unit:
Li (0.000, 0.233, 0.000) x4
Mn (0.000, 0.244, 0.500) x4
Mn (0.242, 0.000, 0.500) x4
Mn (0.244, 0.000, 0.000) x4
Pd (0.000, 0.500, 0.248) x4
Pd (0.250, 0.250, 0.248) x8

Entry from the Alexandria database: a relaxed structure of LiMnPd (PBE).

Properties
For the energy of formation, the calculation gives 47 kJ/mol of formula units.

Cell: 4.2544 4.2544 5.3786 Å, 90.00 90.00 120.00°
Space group P-6m2 (No. 187)
Asymmetric unit:
Li (0.0000, 0.0000, 0.0000) x1
Li (0.0000, 0.0000, 0.5000) x1
Mn (0.6667, 0.3333, 0.1787) x2
Pd (0.3333, 0.6667, 0.2447) x2